No. 1
# TaZnOs

TaZnOs after structural relaxation (PBE-GGA, OQMD).

Properties
The value obtained for the total energy is -7.86 eV per atom. As for the energy of formation: 259.2 meV/atom. The volume comes out at 18.5 Å³/atom. For the energy above the most stable polymorph in this dataset, the calculation gives 0.0 kJ per mole of atoms. The calculation puts the total magnetic moment at 0.05 Bohr magnetons per cell.

Lattice parameters (Å, degrees): 4.2795 4.2795 4.2795 60.00 60.00 60.00
Closest atoms and distances in Å follow each position.
Fractional coordinates of all 3 atoms:
Ta1 0.0000 0.0000 0.0000  4 Os 2.62
Zn1 0.5000 0.5000 0.5000  4 Os 2.62
Os1 0.2500 0.2500 0.2500  4 Zn 2.62, 4 Ta 2.62

=====

No. 2
# ThNbCu

ThNbCu after structural relaxation (PBE-GGA, OQMD).

Properties
The value obtained for the total energy is -6.56 eV per atom. As for the energy of formation: 510.3 meV/atom. The volume comes out at 22.9 Å³/atom. For the energy above the most stable polymorph in this dataset, the calculation gives 0.0 kJ per mole of atoms. The calculation puts the total magnetic moment at 0.01 Bohr magnetons per cell.

Lattice parameters (Å, degrees): 4.5980 4.5980 4.5980 60.00 60.00 60.00
Closest atoms and distances in Å follow each position.
Fractional coordinates of all 3 atoms:
Th1 0.0000 0.0000 0.0000  4 Cu 2.82
Nb1 0.5000 0.5000 0.5000  4 Cu 2.82
Cu1 0.7500 0.7500 0.7500  4 Nb 2.82, 4 Th 2.82

=====

No. 3
# CsAgGeSe2S

CsAgGeSe2S after structural relaxation (PBE-GGA, OQMD).

Properties
The value obtained for the total energy is -3.55 eV per atom. The volume comes out at 27.8 Å³/atom.

Lattice parameters (Å, degrees): 8.2822 8.2822 10.8571 90.00 90.00 153.40
Closest atoms and distances in Å follow each position.
Fractional coordinates of all 12 atoms:
Cs1 0.2350 0.7650 0.7500  6 Se 3.58-3.94, 2 S 3.63, 2 Cs 3.81, 2 Ag 3.84
Cs2 0.7650 0.2350 0.2500  6 Se 3.58-3.94, 2 S 3.63, 2 Cs 3.81, 2 Ag 3.84
Ag1 0.0584 0.9416 0.2500  2 S 2.51, 2 Se 2.59
Ag2 0.9416 0.0584 0.7500  2 S 2.51, 2 Se 2.59
Ge1 0.5000 0.5000 0.0000  4 Se 2.66, 2 S 2.80
Ge2 0.5000 0.5000 0.5000  4 Se 2.66, 2 S 2.80
Se1 0.1136 0.8864 0.0260  1 Ag 2.59, 2 Ge 2.66
Se2 0.1136 0.8864 0.4740  1 Ag 2.59, 2 Ge 2.66
Se3 0.8864 0.1136 0.5260  1 Ag 2.59, 2 Ge 2.66
Se4 0.8864 0.1136 0.9740  1 Ag 2.59, 2 Ge 2.66
S1 0.4570 0.5430 0.2500  2 Ag 2.51, 2 Ge 2.80
S2 0.5430 0.4570 0.7500  2 Ag 2.51, 2 Ge 2.80

=====

> Look up the volume of the first one.

18.5 Å³/atom